Here is CoS4Cl after structural relaxation from the Alexandria database. Energies are from PBE.

Unit cell a=5.583 b=5.516 c=9.858 alpha=73.01 beta=63.51 gamma=90.21
Sites, in units of the cell vectors:
S  0.238  0.351  0.774
Co  0.000  0.000  0.500
S  0.665  0.916  0.441
S  0.762  0.649  0.226
S  0.824  0.401  0.106
Cl  0.258  0.211  0.238
Co  0.500  0.500  0.500
Cl  0.742  0.789  0.762
S  0.176  0.599  0.894
S  0.836  0.353  0.565
S  0.335  0.084  0.559
S  0.164  0.647  0.435

- E: -4.38 eV per atom
- Formation energy from raw total energies: -0.13 eV per atom
- M_tot: 0.000 μB per formula unit